Computed, not measured: Tl8Sb6As after structural relaxation at the PBE level of DFT. Values from VASP.

Geometry as Quantum ESPRESSO input:
```
&SYSTEM
  ibrav = 0, nat = 15, ntyp = 3
/
ATOMIC_SPECIES
Tl 204.38 Tl.upf
Sb 121.76 Sb.upf
As 74.92 As.upf
ATOMIC_POSITIONS angstrom
Tl 0.0000 0.0000 1.7365
Tl -0.7043 -1.9267 7.3245
Tl -1.3164 1.5732 7.3245
Tl -2.0207 -0.3534 12.7782
Tl 2.0207 0.3534 7.3245
Tl 1.3164 -1.5732 12.7782
Tl 0.7043 1.9267 12.7782
Tl 0.0000 0.0000 18.3662
Sb -3.0404 -0.3018 9.6584
Sb -1.2588 -2.7840 10.4443
Sb -1.7816 2.4822 10.4443
Sb 1.7816 -2.4822 9.6584
Sb 1.2588 2.7840 9.6584
Sb 3.0404 0.3018 10.4443
As 0.0000 0.0000 10.0514
CELL_PARAMETERS angstrom
4.5813 2.6450 6.7009
-4.5813 2.6450 6.7009
0.0000 -5.2900 6.7009
```

Computed properties:
Uncorrected formation energy   0.093 eV/atom
Crystal system   trigonal